[1]
The following is a PBE-GGA calculation of an optimized crystal structure of SmHoAgPd, from the Alexandria database.

Cell lengths 7.2013, 7.2013, 7.2013 Å; angles 90.00, 90.00, 90.00 degrees
Space group F-43m (No. 216)
One atom of each set of equivalent atoms:
Sm 0.0000 0.0000 0.0000 x4
Ho 0.0000 0.0000 0.5000 x4
Ag 0.2500 0.2500 0.2500 x4
Pd 0.2500 0.2500 0.7500 x4

Values from the calculation:
Energy above the lowest structure with this stoichiometry, meV/atom: 9

=====

[2]
The following is a PBE-GGA calculation of an optimized crystal structure of Ce3Tl3SbS8, from the Alexandria database.

Cell lengths 8.2869, 8.2869, 22.3902 Å; angles 90.00, 90.00, 120.00 degrees
Space group R-3m (No. 166, hexagonal axes)
One atom of each set of equivalent atoms:
Ce 0.0000 0.5000 0.0000 x9
Tl 0.0000 0.5000 0.5000 x9
Sb 0.0000 0.0000 0.0000 x3
S 0.0000 0.0000 0.2661 x6
S 0.0042 0.5021 0.7312 x18

Values from the calculation:
Energy relative to the elements, uncorrected, eV/atom: -1.210

=====

[3]
The following is a PBE-GGA calculation of an optimized crystal structure of TbYTmMg, from the Alexandria database.

Cell lengths 7.7618, 7.7618, 7.7618 Å; angles 90.00, 90.00, 90.00 degrees
Space group F-43m (No. 216)
One atom of each set of equivalent atoms:
Tb 0.0000 0.0000 0.0000 x4
Y 0.0000 0.0000 0.5000 x4
Tm 0.2500 0.2500 0.2500 x4
Mg 0.2500 0.2500 0.7500 x4

Values from the calculation:
Energy above the lowest structure with this stoichiometry, meV/atom: 60

=====

[4]
The following is a PBE-GGA calculation of an optimized crystal structure of SrAlPt2, from the Alexandria database.

Cell lengths 7.3872, 4.2555, 6.3184 Å; angles 90.00, 112.51, 90.00 degrees
Space group Cm (No. 8)
One atom of each set of equivalent atoms:
Sr 0.0000 0.0000 0.0000 x2
Al 0.1888 0.0000 0.5585 x2
Pt 0.0488 0.5000 0.6406 x2
Pt 0.3068 0.5000 0.4106 x2

Values from the calculation:
Total DFT energy (no corrections), eV/atom: -5.194

=====

[5]
The following is a PBE-GGA calculation of an optimized crystal structure of Pr3Dy5Er, from the Alexandria database.

Cell lengths 15.3904, 11.3917, 10.0407 Å; angles 90.00, 130.38, 90.00 degrees
Space group C2/m (No. 12)
One atom of each set of equivalent atoms:
Pr 0.0000 0.0000 0.0000 x2
Pr 0.0000 0.5000 0.5000 x2
Pr 0.0081 0.0000 0.3098 x4
Pr 0.0229 0.5000 0.8612 x4
Dy 0.0000 0.2435 0.5000 x4
Dy 0.1604 0.2493 0.2528 x8
Dy 0.2191 0.0000 0.7267 x4
Dy 0.2218 0.5000 0.5363 x4
Er 0.2474 0.5000 0.8974 x4

Values from the calculation:
Total DFT energy (no corrections), eV/atom: -4.133

=====

[6]
The following is a PBE-GGA calculation of an optimized crystal structure of Ta10O9, from the Alexandria database.

Cell lengths 32.0928, 2.7961, 5.3013 Å; angles 90.00, 96.70, 90.00 degrees
Space group Cm (No. 8)
One atom of each set of equivalent atoms:
Ta 0.0000 0.0000 0.0000 x2
Ta 0.0001 0.5000 0.4969 x2
Ta 0.1058 0.0000 0.4026 x2
Ta 0.1084 0.5000 0.9141 x2
Ta 0.1871 0.5000 0.2168 x2
Ta 0.1963 0.0000 0.7569 x2
Ta 0.2939 0.5000 0.4457 x2
Ta 0.2958 0.0000 0.9515 x2
Ta 0.3975 0.0000 0.2145 x2
Ta 0.3969 0.5000 0.7146 x2
O 0.0643 0.5000 0.5406 x2
O 0.0662 0.0000 0.0544 x2
O 0.1466 0.5000 0.6084 x2
O 0.2481 0.0000 0.2365 x2
O 0.2490 0.5000 0.7450 x2
O 0.3502 0.0000 0.4888 x2
O 0.3511 0.5000 0.9959 x2
O 0.4529 0.0000 0.7652 x2
O 0.4535 0.5000 0.2702 x2

Values from the calculation:
Energy relative to the elements, uncorrected, eV/atom: -1.357

=====

[7]
The following is a PBE-GGA calculation of an optimized crystal structure of LiMgCd2, from the Alexandria database.

Cell lengths 4.8340, 4.8340, 6.8011 Å; angles 90.00, 90.00, 90.00 degrees
Space group I-4m2 (No. 119)
One atom of each set of equivalent atoms:
Li 0.0000 0.0000 0.0000 x2
Mg 0.0000 0.5000 0.7500 x2
Cd 0.0000 0.0000 0.5000 x2
Cd 0.0000 0.5000 0.2500 x2

Values from the calculation:
Total DFT energy (no corrections), eV/atom: -1.517

=====

[8]
The following is a PBE-GGA calculation of an optimized crystal structure of La2AlNi, from the Alexandria database.

Cell lengths 8.1620, 8.1620, 6.1988 Å; angles 90.00, 90.00, 90.00 degrees
Space group I-42d (No. 122)
One atom of each set of equivalent atoms:
La 0.1924 0.2500 0.1250 x8
Al 0.0000 0.0000 0.5000 x4
Ni 0.0000 0.0000 0.0000 x4

Values from the calculation:
Total DFT energy (no corrections), eV/atom: -4.896